# 1
## DyAuSeO (PBE-GGA)

Data for a relaxed structure of DyAuSeO.

Summary:
The size of the total moment is 0.001 μB/f.u. As for the final energy: -5.99 eV per atom.

CIF file:
```
data_DyAuSeO
_symmetry_space_group_name_H-M 'P c c a'
_symmetry_Int_Tables_number 54
_cell_length_a 5.615
_cell_length_b 9.559
_cell_length_c 5.627
_cell_angle_alpha 90.00
_cell_angle_beta 90.00
_cell_angle_gamma 90.00
loop_
_symmetry_equiv_pos_as_xyz
'x,y,z'
'-x,-y,-z'
'-x+1/2,-y,z'
'x+1/2,y,-z'
'x+1/2,-y,-z+1/2'
'-x+1/2,y,z+1/2'
'-x,y,-z+1/2'
'x,-y,z+1/2'
loop_
_atom_site_label
_atom_site_type_symbol
_atom_site_fract_x
_atom_site_fract_y
_atom_site_fract_z
_atom_site_occupancy
Dy1 Dy 0.000 0.115 0.250 1
Au1 Au 0.250 0.500 0.237 1
Se1 Se 0.000 0.278 0.750 1
O1 O 0.250 0.000 0.000 1
```



# 2
## HoPaIn (PBE-GGA)

Data for a relaxed structure of HoPaIn.

Summary:
The size of the total moment is 1.543 μB/f.u. As for the final energy: -5.14 eV per atom.

CIF file:
```
data_HoPaIn
_symmetry_space_group_name_H-M 'F -4 3 m'
_symmetry_Int_Tables_number 216
_symmetry_space_group_name_Hall 'F -4 2 3'
_cell_length_a 7.251
_cell_length_b 7.251
_cell_length_c 7.251
_cell_angle_alpha 90.00
_cell_angle_beta 90.00
_cell_angle_gamma 90.00
loop_
_atom_site_label
_atom_site_type_symbol
_atom_site_fract_x
_atom_site_fract_y
_atom_site_fract_z
_atom_site_occupancy
Ho1 Ho 0.000 0.000 0.000 1
Pa1 Pa 0.000 0.000 0.500 1
In1 In 0.250 0.250 0.250 1
```



# 3
## KPu2Br6 (PBE-GGA)

Data for a relaxed structure of KPu2Br6.

Summary:
The size of the total moment is 11.037 μB/f.u. As for the final energy: -6.00 eV per atom.

CIF file:
```
data_KPu2Br6
_symmetry_space_group_name_H-M 'P 42/m n m'
_symmetry_Int_Tables_number 136
_symmetry_space_group_name_Hall '-P 4n 2n'
_cell_length_a 7.177
_cell_length_b 7.177
_cell_length_c 13.697
_cell_angle_alpha 90.00
_cell_angle_beta 90.00
_cell_angle_gamma 90.00
loop_
_atom_site_label
_atom_site_type_symbol
_atom_site_fract_x
_atom_site_fract_y
_atom_site_fract_z
_atom_site_occupancy
K1 K 0.000 0.000 0.000 1
Pu1 Pu 0.000 0.000 0.333 1
Br1 Br 0.183 0.183 0.500 1
Br2 Br 0.210 0.210 0.184 1
```



# 4
## Mg4GaSiIr2 (PBE-GGA)

Data for a relaxed structure of Mg4GaSiIr2.

Summary:
The size of the total moment is 0.010 μB/f.u. As for the final energy: -4.56 eV per atom.

CIF file:
```
data_Mg4GaSiIr2
_symmetry_space_group_name_H-M 'A m m 2'
_symmetry_Int_Tables_number 38
_cell_length_a 8.786
_cell_length_b 4.266
_cell_length_c 7.397
_cell_angle_alpha 90.00
_cell_angle_beta 90.00
_cell_angle_gamma 90.00
loop_
_symmetry_equiv_pos_as_xyz
'x,y,z'
'-x,-y,z'
'-x,y,z'
'x,-y,z'
'x,y+1/2,z+1/2'
'-x,-y+1/2,z+1/2'
'-x,y+1/2,z+1/2'
'x,-y+1/2,z+1/2'
loop_
_atom_site_label
_atom_site_type_symbol
_atom_site_fract_x
_atom_site_fract_y
_atom_site_fract_z
_atom_site_occupancy
Mg1 Mg 0.168 0.000 0.000 1
Mg2 Mg 0.332 0.000 0.333 1
Ga1 Ga 0.000 0.000 0.667 1
Si1 Si 0.500 0.000 0.666 1
Ir1 Ir 0.000 0.000 0.334 1
Ir2 Ir 0.500 0.000 0.999 1
```



# 5
## LaGa2CuPt (PBE-GGA)

Data for a relaxed structure of LaGa2CuPt.

Summary:
The size of the total moment is 0.003 μB/f.u. As for the final energy: -4.85 eV per atom.

CIF file:
```
data_LaGa2CuPt
_symmetry_space_group_name_H-M 'P 4/n m m'
_symmetry_Int_Tables_number 129
_cell_length_a 4.289
_cell_length_b 4.289
_cell_length_c 10.350
_cell_angle_alpha 90.00
_cell_angle_beta 90.00
_cell_angle_gamma 90.00
loop_
_symmetry_equiv_pos_as_xyz
'x,y,z'
'-x,-y,-z'
'-y+1/2,x,z'
'y+1/2,-x,-z'
'-x+1/2,-y+1/2,z'
'x+1/2,y+1/2,-z'
'y,-x+1/2,z'
'-y,x+1/2,-z'
'x+1/2,-y,-z'
'-x+1/2,y,z'
'-y,-x,-z'
'y,x,z'
'-x,y+1/2,-z'
'x,-y+1/2,z'
'y+1/2,x+1/2,-z'
'-y+1/2,-x+1/2,z'
loop_
_atom_site_label
_atom_site_type_symbol
_atom_site_fract_x
_atom_site_fract_y
_atom_site_fract_z
_atom_site_occupancy
La1 La 0.250 0.250 0.246 1
Ga1 Ga 0.250 0.250 0.637 1
Ga2 Ga 0.250 0.750 0.000 1
Cu1 Cu 0.250 0.250 0.874 1
Pt1 Pt 0.250 0.750 0.500 1
```



# 6
## HoLuIn (PBE-GGA)

Data for a relaxed structure of HoLuIn.

Summary:
The size of the total moment is 0.012 μB/f.u. As for the final energy: -4.29 eV per atom.

CIF file:
```
data_HoLuIn
_symmetry_space_group_name_H-M 'P 63/m m c'
_symmetry_Int_Tables_number 194
_symmetry_space_group_name_Hall '-P 6c 2c'
_cell_length_a 5.3182
_cell_length_b 5.3182
_cell_length_c 6.6508
_cell_angle_alpha 90.00
_cell_angle_beta 90.00
_cell_angle_gamma 120.00
loop_
_atom_site_label
_atom_site_type_symbol
_atom_site_fract_x
_atom_site_fract_y
_atom_site_fract_z
_atom_site_occupancy
Ho1 Ho 0.3333 0.6667 0.2500 1
Lu1 Lu 0.0000 0.0000 0.0000 1
In1 In 0.3333 0.6667 0.7500 1
```



# 7
## PrNdCuSi3 (PBE-GGA)

Data for a relaxed structure of PrNdCuSi3.

Summary:
The size of the total moment is 0.001 μB/f.u. As for the final energy: -5.67 eV per atom.

CIF file:
```
data_PrNdCuSi3
_symmetry_space_group_name_H-M 'F m m m'
_symmetry_Int_Tables_number 69
_symmetry_space_group_name_Hall '-F 2 2'
_cell_length_a 8.131
_cell_length_b 8.565
_cell_length_c 14.074
_cell_angle_alpha 90.00
_cell_angle_beta 90.00
_cell_angle_gamma 90.00
loop_
_atom_site_label
_atom_site_type_symbol
_atom_site_fract_x
_atom_site_fract_y
_atom_site_fract_z
_atom_site_occupancy
Pr1 Pr 0.000 0.243 0.000 1
Nd1 Nd 0.250 0.250 0.250 1
Cu1 Cu 0.000 0.000 0.333 1
Si1 Si 0.000 0.000 0.169 1
Si2 Si 0.245 0.000 0.415 1
```



# 8
## Tm3In3Ag2Pd (PBE-GGA)

Data for a relaxed structure of Tm3In3Ag2Pd.

Summary:
The size of the total moment is 0.019 μB/f.u. As for the final energy: -4.15 eV per atom.

CIF file:
```
data_Tm3In3Ag2Pd
_symmetry_space_group_name_H-M 'P -6 2 m'
_symmetry_Int_Tables_number 189
_symmetry_space_group_name_Hall 'P -6 -2'
_cell_length_a 7.7525
_cell_length_b 7.7525
_cell_length_c 3.8653
_cell_angle_alpha 90.00
_cell_angle_beta 90.00
_cell_angle_gamma 120.00
loop_
_atom_site_label
_atom_site_type_symbol
_atom_site_fract_x
_atom_site_fract_y
_atom_site_fract_z
_atom_site_occupancy
Tm1 Tm 0.0000 0.4001 0.0000 1
In1 In 0.0000 0.7408 0.5000 1
Ag1 Ag 0.3333 0.6667 0.5000 1
Pd1 Pd 0.0000 0.0000 0.0000 1
```



# 9
## Ho14C (PBE-GGA)

Data for a relaxed structure of Ho14C.

Summary:
The size of the total moment is 1.937 μB/f.u. As for the final energy: -4.32 eV per atom.

CIF file:
```
data_Ho14C
_symmetry_space_group_name_H-M 'R -3 m'
_symmetry_Int_Tables_number 166
_symmetry_space_group_name_Hall '-R 3 2"'
_cell_length_a 9.6398
_cell_length_b 9.6398
_cell_length_c 17.7222
_cell_angle_alpha 90.00
_cell_angle_beta 90.00
_cell_angle_gamma 120.00
loop_
_atom_site_label
_atom_site_type_symbol
_atom_site_fract_x
_atom_site_fract_y
_atom_site_fract_z
_atom_site_occupancy
Ho1 Ho 0.0000 0.0000 0.1291 1
Ho2 Ho 0.0000 0.3213 0.5000 1
Ho3 Ho 0.0694 0.5347 0.3411 1
C1 C 0.0000 0.0000 0.0000 1
```



# 10
## Pr2SnPd (PBE-GGA)

Data for a relaxed structure of Pr2SnPd.

Summary:
The size of the total moment is 0.017 μB/f.u. As for the final energy: -5.42 eV per atom.

CIF file:
```
data_Pr2SnPd
_symmetry_space_group_name_H-M 'A m m 2'
_symmetry_Int_Tables_number 38
_cell_length_a 4.544
_cell_length_b 4.258
_cell_length_c 11.617
_cell_angle_alpha 90.00
_cell_angle_beta 90.00
_cell_angle_gamma 90.00
loop_
_symmetry_equiv_pos_as_xyz
'x,y,z'
'-x,-y,z'
'-x,y,z'
'x,-y,z'
'x,y+1/2,z+1/2'
'-x,-y+1/2,z+1/2'
'-x,y+1/2,z+1/2'
'x,-y+1/2,z+1/2'
loop_
_atom_site_label
_atom_site_type_symbol
_atom_site_fract_x
_atom_site_fract_y
_atom_site_fract_z
_atom_site_occupancy
Pr1 Pr 0.000 0.000 0.000 1
Pr2 Pr 0.500 0.000 0.284 1
Sn1 Sn 0.500 0.000 0.567 1
Pd1 Pd 0.000 0.000 0.724 1
```



# 11
## CsLaCdSe3 (PBE-GGA)

Data for a relaxed structure of CsLaCdSe3.

Summary:
The size of the total moment is 0.001 μB/f.u. As for the final energy: -4.16 eV per atom.

CIF file:
```
data_CsLaCdSe3
_symmetry_space_group_name_H-M 'C 1 2/m 1'
_symmetry_Int_Tables_number 12
_cell_length_a 18.429
_cell_length_b 4.531
_cell_length_c 9.686
_cell_angle_alpha 90.00
_cell_angle_beta 103.37
_cell_angle_gamma 90.00
loop_
_symmetry_equiv_pos_as_xyz
'x,y,z'
'-x,-y,-z'
'-x,y,-z'
'x,-y,z'
'x+1/2,y+1/2,z'
'-x+1/2,-y+1/2,-z'
'-x+1/2,y+1/2,-z'
'x+1/2,-y+1/2,z'
loop_
_atom_site_label
_atom_site_type_symbol
_atom_site_fract_x
_atom_site_fract_y
_atom_site_fract_z
_atom_site_occupancy
Cs1 Cs 0.147 0.000 0.065 1
La1 La 0.167 0.000 0.583 1
Cd1 Cd 0.002 0.500 0.719 1
Se1 Se 0.000 0.000 0.500 1
Se2 Se 0.000 0.500 0.000 1
Se3 Se 0.155 0.500 0.775 1
Se4 Se 0.163 0.500 0.371 1
```



# 12
## La2SmSn3PdPt2 (PBE-GGA)

Data for a relaxed structure of La2SmSn3PdPt2.

Summary:
The size of the total moment is 0.006 μB/f.u. As for the final energy: -5.92 eV per atom.

CIF file:
```
data_La2SmSn3PdPt2
_symmetry_space_group_name_H-M 'A m m 2'
_symmetry_Int_Tables_number 38
_cell_length_a 4.182
_cell_length_b 13.297
_cell_length_c 7.685
_cell_angle_alpha 90.00
_cell_angle_beta 90.00
_cell_angle_gamma 90.00
loop_
_symmetry_equiv_pos_as_xyz
'x,y,z'
'-x,-y,z'
'-x,y,z'
'x,-y,z'
'x,y+1/2,z+1/2'
'-x,-y+1/2,z+1/2'
'-x,y+1/2,z+1/2'
'x,-y+1/2,z+1/2'
loop_
_atom_site_label
_atom_site_type_symbol
_atom_site_fract_x
_atom_site_fract_y
_atom_site_fract_z
_atom_site_occupancy
La1 La 0.000 0.207 0.000 1
Sm1 Sm 0.000 0.000 0.380 1
Sn1 Sn 0.500 0.000 0.045 1
Sn2 Sn 0.500 0.123 0.664 1
Pd1 Pd 0.000 0.000 0.789 1
Pt1 Pt 0.500 0.165 0.292 1
```



Copy entry 2 word for word.
## HoPaIn (PBE-GGA)

Data for a relaxed structure of HoPaIn.

Summary:
The size of the total moment is 1.543 μB/f.u. As for the final energy: -5.14 eV per atom.

CIF file:
```
data_HoPaIn
_symmetry_space_group_name_H-M 'F -4 3 m'
_symmetry_Int_Tables_number 216
_symmetry_space_group_name_Hall 'F -4 2 3'
_cell_length_a 7.251
_cell_length_b 7.251
_cell_length_c 7.251
_cell_angle_alpha 90.00
_cell_angle_beta 90.00
_cell_angle_gamma 90.00
loop_
_atom_site_label
_atom_site_type_symbol
_atom_site_fract_x
_atom_site_fract_y
_atom_site_fract_z
_atom_site_occupancy
Ho1 Ho 0.000 0.000 0.000 1
Pa1 Pa 0.000 0.000 0.500 1
In1 In 0.250 0.250 0.250 1
```